[1]
{"formula": "CsTlIn2I8", "functional": "PBE", "state": "relaxed", "lattice_angstrom": [[-7.626, 1.290, 1.594], [-5.462, -1.242, -5.566], [-5.453, -10.707, 2.138]], "species": ["Cs", "Tl", "In", "In", "I", "I", "I", "I", "I", "I", "I", "I"], "frac_coords": [[0.500, 0.500, 0.500], [0.000, 0.000, 0.000], [0.246, 0.246, 0.263], [0.754, 0.754, 0.737], [0.165, 0.165, 0.505], [0.581, 0.314, 0.185], [0.835, 0.835, 0.495], [0.920, 0.581, 0.185], [0.080, 0.419, 0.815], [0.314, 0.920, 0.185], [0.686, 0.080, 0.815], [0.419, 0.686, 0.815]], "formation_energy_uncorrected_ev_per_atom": -0.74, "magnetic_moment_mub_per_cell": 0.00}

[2]
{"formula": "Rb3CoB", "functional": "PBE", "state": "relaxed", "lattice_angstrom": [[-0.018, 5.276, -3.236], [-5.157, -1.802, -2.909], [-3.422, 2.688, 4.401]], "species": ["B", "Co", "Rb", "Rb", "Rb"], "frac_coords": [[0.000, 0.000, 0.000], [0.500, 0.500, 0.500], [0.000, 0.500, 0.000], [0.000, 0.000, 0.500], [0.500, 0.000, 0.000]], "ef_ev_per_atom": 1.460, "de_polymorph_ev_per_atom": 0.000, "magnetic_moment_mub_per_cell": 1.68}

[3]
{"formula": "NaAcSb4", "functional": "PBE", "state": "relaxed", "lattice_angstrom": [[6.420, 0.000, 0.000], [3.210, 5.560, 0.000], [3.210, 1.853, 5.242]], "species": ["Sb", "Sb", "Sb", "Sb", "Ac", "Na"], "frac_coords": [[0.624, 0.624, 0.128], [0.624, 0.128, 0.624], [0.624, 0.624, 0.624], [0.128, 0.624, 0.624], [0.000, 0.000, 0.000], [0.250, 0.250, 0.250]], "formation_energy_uncorrected_ev_per_atom": -0.29, "magnetic_moment_mub_per_cell": 0.00}

[4]
{"formula": "Ba2TeCl", "functional": "PBE", "state": "relaxed", "lattice_angstrom": [[4.830, 0.000, 0.000], [0.000, 4.830, 0.000], [0.000, 0.000, 6.788]], "species": ["Te", "Ba", "Ba", "Cl"], "frac_coords": [[0.500, 0.500, 0.875], [0.000, 0.000, 0.875], [0.500, 0.500, 0.375], [0.000, 0.000, 0.375]], "formation_energy_uncorrected_ev_per_atom": -1.77, "de_polymorph_ev_per_atom": 0.020, "magnetic_moment_mub_per_cell": 0.00}

[5]
{"formula": "GaPt5Rh2", "functional": "PBE", "state": "relaxed", "lattice_angstrom": [[-0.598, -5.327, 1.479], [1.920, -5.032, -6.891], [8.557, -1.645, 7.935]], "species": ["Ga", "Ga", "Ga", "Ga", "Pt", "Pt", "Pt", "Pt", "Pt", "Pt", "Pt", "Pt", "Pt", "Pt", "Pt", "Pt", "Pt", "Pt", "Pt", "Pt", "Pt", "Pt", "Pt", "Pt", "Rh", "Rh", "Rh", "Rh", "Rh", "Rh", "Rh", "Rh"], "frac_coords": [[0.685, 0.187, 0.439], [0.312, 0.313, 0.061], [0.688, 0.687, 0.939], [0.315, 0.813, 0.561], [0.937, 0.938, 0.185], [0.196, 0.186, 0.438], [0.878, 0.122, 0.624], [0.501, 0.251, 0.249], [0.001, 0.249, 0.251], [0.555, 0.067, 0.817], [0.439, 0.434, 0.683], [0.060, 0.562, 0.315], [0.180, 0.687, 0.938], [0.624, 0.378, 0.876], [0.376, 0.622, 0.124], [0.820, 0.313, 0.062], [0.940, 0.438, 0.685], [0.561, 0.566, 0.317], [0.445, 0.933, 0.183], [0.999, 0.751, 0.749], [0.499, 0.749, 0.751], [0.122, 0.878, 0.376], [0.804, 0.814, 0.562], [0.063, 0.062, 0.815], [0.374, 0.124, 0.626], [0.747, 0.002, 0.000], [0.750, 0.497, 0.500], [0.877, 0.624, 0.126], [0.123, 0.376, 0.874], [0.250, 0.503, 0.500], [0.253, 0.998, 0.000], [0.626, 0.876, 0.374]], "ef_ev_per_atom": -0.200, "magnetic_moment_mub_per_cell": 0.00}

[6]
{"formula": "Zr2AgW", "functional": "PBE", "state": "relaxed", "lattice_angstrom": [[-4.056, -1.074, 3.609], [-4.541, -2.838, 1.399], [2.088, -3.993, 2.730]], "species": ["Ag", "W", "Zr", "Zr"], "frac_coords": [[0.521, 0.521, 0.538], [0.233, 0.233, 0.206], [0.979, 0.979, 0.058], [0.767, 0.767, 0.698]], "ef_ev_per_atom": 0.239, "de_polymorph_ev_per_atom": 0.237, "magnetic_moment_mub_per_cell": 0.00}

[7]
{"formula": "MgRh2Pb", "functional": "PBE", "state": "relaxed", "lattice_angstrom": [[-3.320, -0.018, 3.205], [-3.436, -3.069, -0.255], [-0.241, -3.452, 3.053]], "species": ["Mg", "Pb", "Rh", "Rh"], "frac_coords": [[0.500, 0.500, 0.500], [0.750, 0.750, 0.750], [0.000, 0.000, 0.000], [0.250, 0.250, 0.250]], "ef_ev_per_atom": 0.008, "magnetic_moment_mub_per_cell": 0.00}

[8]
{"formula": "LaNd4Er7", "functional": "PBE", "state": "relaxed", "lattice_angstrom": [[-3.898, 4.394, -0.741], [-7.087, -0.741, 9.240], [1.675, 5.944, 2.791]], "species": ["La", "Nd", "Nd", "Nd", "Nd", "Er", "Er", "Er", "Er", "Er", "Er", "Er"], "frac_coords": [[0.000, 0.000, 0.000], [0.633, 0.223, 0.511], [0.367, 0.777, 0.489], [0.767, 0.673, 0.794], [0.233, 0.327, 0.206], [0.789, 0.923, 0.498], [0.211, 0.077, 0.502], [0.065, 0.677, 0.193], [0.935, 0.323, 0.807], [0.367, 0.499, 0.768], [0.500, 0.000, 0.000], [0.633, 0.501, 0.232]], "ef_ev_per_atom": 0.254, "de_polymorph_ev_per_atom": 0.179, "magnetic_moment_mub_per_cell": 0.00}

[9]
{"formula": "BaPr3", "functional": "PBE", "state": "relaxed", "lattice_angstrom": [[5.424, 0.000, 0.000], [0.000, 5.424, 0.000], [0.000, 0.000, 5.424]], "species": ["Pr", "Pr", "Pr", "Ba"], "frac_coords": [[0.000, 0.500, 0.500], [0.500, 0.000, 0.500], [0.500, 0.500, 0.000], [0.000, 0.000, 0.000]], "ef_ev_per_atom": 0.169, "de_polymorph_ev_per_atom": 0.014, "magnetic_moment_mub_per_cell": 0.00}

[10]
{"formula": "KUCu2Se4", "functional": "PBE", "state": "relaxed", "lattice_angstrom": [[6.620, 0.000, 0.000], [3.310, 5.752, -0.022], [3.310, 0.450, 5.735]], "species": ["K", "U", "Cu", "Cu", "Se", "Se", "Se", "Se"], "frac_coords": [[0.000, 0.000, 0.000], [0.500, 0.500, 0.500], [0.148, 0.352, 0.352], [0.852, 0.648, 0.648], [0.450, 0.120, 0.503], [0.073, 0.880, 0.497], [0.927, 0.503, 0.120], [0.550, 0.497, 0.880]], "formation_energy_uncorrected_ev_per_atom": -0.57, "magnetic_moment_mub_per_cell": 0.99}